Entry 1:
DFT (PBE) results for a geometry-optimized Mg2ZrAs structure.

Output
calculated total energy	-17.3	eV for the cell shown

a b c (Å): 4.9659 3.1179 5.5766
angles (deg): 90.00 110.10 90.00
Fractional positions:
Mg1 0.0000 0.0000 0.0000
Mg2 0.5000 0.5000 0.0000
Zr1 0.0000 0.5000 0.5000
As1 0.5000 0.0000 0.5000



Entry 2:
DFT (PBE) results for a geometry-optimized MgZr2As structure.

Output
calculated total energy	-48.5	eV for the cell shown
energy above the lowest structure with this stoichiometry	1.114	eV/f.u.

a b c (Å): 6.1988 6.1988 6.1988
angles (deg): 102.90 102.90 123.60
Fractional positions:
Mg1 0.0000 0.0000 0.0000
Mg2 0.7500 0.2500 0.5000
Zr1 0.1550 0.6250 0.0300
Zr2 0.3750 0.4050 0.5300
Zr3 0.5950 0.1250 0.9700
Zr4 0.8750 0.8450 0.4700
As1 0.2500 0.7500 0.5000
As2 0.5000 0.5000 0.0000



Entry 3:
DFT (PBE) results for a geometry-optimized MgZrAs2 structure.

Output
calculated total energy	-21.8	eV for the cell shown

a b c (Å): 5.8089 5.8089 5.8089
angles (deg): 140.86 140.86 56.56
Fractional positions:
Mg1 0.0000 0.0000 0.0000
Zr1 0.2500 0.7500 0.5000
As1 0.5000 0.5000 0.0000
As2 0.7500 0.2500 0.5000